Arrangement i

This record from Alexandria via LeMat-Bulk describes an optimized crystal structure of TlInSCl2. The functional is PBE-GGA.

Lattice parameters (Å, degrees): 5.297 5.297 4.972 90.00 90.00 90.00
Element x y z (fractional)
Tl  0.500  0.500  0.500
S  0.000  0.000  0.500
Cl  0.500  0.000  0.000
Cl  0.000  0.500  0.000
In  0.000  0.000  0.000

Properties
The crystal system is tetragonal. The calculation puts the density of states at the Fermi level at 1.6 states/eV per cell. The density is 5.02 g/cm³.


Arrangement ii

This record from Alexandria via LeMat-Bulk describes an optimized crystal structure of TlInSCl2. The functional is PBE-GGA.

Lattice parameters (Å, degrees): 5.427 5.427 5.155 90.00 90.00 90.00
Element x y z (fractional)
Cl  0.500  0.000  0.000
Cl  0.000  0.500  0.000
In  0.500  0.500  0.500
Tl  0.000  0.000  0.000
S  0.000  0.000  0.500

Properties
The crystal system is tetragonal. The calculation puts the density of states at the Fermi level at 3.1 states/eV per cell. The density is 4.62 g/cm³.


It comes down to arrangement i, which is 352 meV per atom more stable than the next structure.


Arrangement i

This record from Alexandria via LeMat-Bulk describes an optimized crystal structure of VInSCl2. The functional is PBE-GGA.

Lattice parameters (Å, degrees): 5.016 5.016 4.605 90.00 90.00 90.00
Each line ends with the local moment (μB).
Element x y z (fractional)
Cl  0.500  0.000  0.000  0.00
Cl  0.000  0.500  0.000  0.00
V  0.000  0.000  0.000  1.94
In  0.500  0.500  0.500  -0.01
S  0.000  0.000  0.500  -0.14

Properties
The crystal system is tetragonal. The calculation puts the density of states at the Fermi level at 1.0 states/eV per cell. The density is 3.85 g/cm³.


Arrangement ii

This record from Alexandria via LeMat-Bulk describes an optimized crystal structure of VInSCl2. The functional is PBE-GGA.

Lattice parameters (Å, degrees): 4.946 4.946 5.292 90.00 90.00 90.00
Each line ends with the local moment (μB).
Element x y z (fractional)
In  0.000  0.000  0.000  0.02
Cl  0.500  0.000  0.000  0.01
Cl  0.000  0.500  0.000  0.01
V  0.500  0.500  0.500  3.16
S  0.000  0.000  0.500  -0.07

Properties
The crystal system is tetragonal. The calculation puts the density of states at the Fermi level at 4.2 states/eV per cell. The density is 3.45 g/cm³.


It comes down to arrangement i, which is 848 meV per atom more stable than the next structure.


Arrangement i

This record from Alexandria via LeMat-Bulk describes an optimized crystal structure of InWSCl2. The functional is PBE-GGA.

Lattice parameters (Å, degrees): 4.955 4.955 5.268 90.00 90.00 90.00
Each line ends with the local moment (μB).
Element x y z (fractional)
W  0.500  0.500  0.500  3.48
Cl  0.500  0.000  0.000  0.04
Cl  0.000  0.500  0.000  0.04
In  0.000  0.000  0.000  0.02
S  0.000  0.000  0.500  -0.13

Properties
The crystal system is tetragonal. The calculation puts the density of states at the Fermi level at 5.7 states/eV per cell. The density is 5.16 g/cm³.


Arrangement ii

This record from Alexandria via LeMat-Bulk describes an optimized crystal structure of InWSCl2. The functional is PBE-GGA.

Lattice parameters (Å, degrees): 5.094 5.094 4.678 90.00 90.00 90.00
Each line ends with the local moment (μB).
Element x y z (fractional)
S  0.000  0.000  0.500  -0.04
In  0.500  0.500  0.500  0.01
Cl  0.000  0.500  0.000  0.03
Cl  0.500  0.000  0.000  0.03
W  0.000  0.000  0.000  1.20

Properties
The crystal system is tetragonal. The calculation puts the density of states at the Fermi level at 3.0 states/eV per cell. The density is 5.49 g/cm³.


It comes down to arrangement ii, which is 1051 meV per atom more stable than the next structure.


Arrangement i

This record from Alexandria via LeMat-Bulk describes an optimized crystal structure of YInS2Cl. The functional is PBE-GGA.

Lattice parameters (Å, degrees): 5.035 5.035 4.944 90.00 90.00 90.00
Element x y z (fractional)
Y  0.500  0.500  0.500
S  0.500  0.000  0.000
S  0.000  0.500  0.000
Cl  0.000  0.000  0.500
In  0.000  0.000  0.000

Properties
The crystal system is tetragonal. The calculation puts the density of states at the Fermi level at 3.2 states/eV per cell. The density is 4.02 g/cm³.


Arrangement ii

This record from Alexandria via LeMat-Bulk describes an optimized crystal structure of YInS2Cl. The functional is PBE-GGA.

Lattice parameters (Å, degrees): 5.317 5.317 5.311 90.00 90.00 90.00
Each line ends with the local moment (μB).
Element x y z (fractional)
S  0.500  0.000  0.000  0.28
S  0.000  0.500  0.000  0.28
Y  0.000  0.000  0.000  -0.02
In  0.500  0.500  0.500  0.03
Cl  0.000  0.000  0.500  0.00

Properties
The crystal system is tetragonal. The calculation puts the density of states at the Fermi level at 2.8 states/eV per cell. The density is 3.35 g/cm³.


It comes down to arrangement ii, which is 485 meV per atom more stable than the next structure.


Arrangement i

This record from Alexandria via LeMat-Bulk describes an optimized crystal structure of ZnInS2Cl. The functional is PBE-GGA.

Lattice parameters (Å, degrees): 4.687 4.687 5.141 90.00 90.00 90.00
Element x y z (fractional)
Zn  0.000  0.000  0.000
S  0.000  0.500  0.000
S  0.500  0.000  0.000
In  0.500  0.500  0.500
Cl  0.000  0.000  0.500

Properties
The crystal system is tetragonal. The calculation puts the density of states at the Fermi level at 4.9 states/eV per cell. The density is 4.11 g/cm³.


Arrangement ii

This record from Alexandria via LeMat-Bulk describes an optimized crystal structure of ZnInS2Cl. The functional is PBE-GGA.

Lattice parameters (Å, degrees): 5.082 5.082 5.017 90.00 90.00 90.00
Element x y z (fractional)
In  0.000  0.000  0.000
Zn  0.500  0.500  0.500
Cl  0.000  0.000  0.500
S  0.000  0.500  0.000
S  0.500  0.000  0.000

Properties
The crystal system is tetragonal. The calculation puts the density of states at the Fermi level at 1.9 states/eV per cell. The density is 3.59 g/cm³.


It comes down to arrangement i, which is 232 meV per atom more stable than the next structure.


Arrangement i

This record from Alexandria via LeMat-Bulk describes an optimized crystal structure of InSbCl2. The functional is PBE-GGA.

Lattice parameters (Å, degrees): 6.276 3.551 5.578 70.22 90.00 90.00
Element x y z (fractional)
Sb  0.500  0.621  0.641
Cl  0.500  0.380  0.104
Cl  0.000  0.899  0.066
In  0.000  0.599  0.690

Properties
The crystal system is monoclinic. The calculation puts the density of states at the Fermi level at 1.1 states/eV per cell. The density is 4.36 g/cm³.


Arrangement ii

This record from Alexandria via LeMat-Bulk describes an optimized crystal structure of InSbCl2. The functional is PBE-GGA.

Lattice parameters (Å, degrees): 7.822 7.822 7.822 154.00 145.65 43.58
Element x y z (fractional)
Cl  0.756  0.256  0.500
Cl  0.012  0.012  0.000
In  0.457  0.457  0.000
Sb  0.274  0.774  0.500

Properties
The crystal system is orthorhombic. The calculation puts the density of states at the Fermi level at 2.9 states/eV per cell. The density is 4.33 g/cm³.


It comes down to arrangement i, which is 184 meV per atom more stable than the next structure.